No. 1
This record from Alexandria via LeMat-Bulk describes an optimized crystal structure of MgTeIr2. The functional is GGA-PBE.

As for the volume: 67.95 Å³/cell. The calculation puts the mass density at 13107 kg/m³. The total magnetization comes out at 0.00 μB/f.u. Its space group is Pmmm (47). The polymorph energy (0 for the lowest one) is 45 meV/atom. The value obtained for the uncorrected formation energy is 0.023 eV per atom.

abc: 3.1301 3.6504 5.9468
angles: 90.00 90.00 90.00
Atoms (fractional coordinates):
Ir 0.0000 0.0000 0.4907
Ir 0.0000 0.0000 0.0093
Te 0.5000 0.5000 0.7500
Mg 0.5000 0.5000 0.2500

No. 2
This record from Alexandria via LeMat-Bulk describes an optimized crystal structure of MgTeIr. The functional is GGA-PBE.

As for the volume: 57.23 Å³/cell. The calculation puts the mass density at 9985 kg/m³. The total magnetization comes out at 0.00 μB/f.u. Its space group is Imm2 (44). The polymorph energy (0 for the lowest one) is 374 meV/atom. The value obtained for the uncorrected formation energy is 0.040 eV per atom.

abc: 4.9382 4.9382 4.9382
angles: 137.81 134.18 64.04
Atoms (fractional coordinates):
Ir 0.9912 0.9912 0.0000
Te 0.6682 0.6682 0.0000
Mg 0.3406 0.3406 0.0000

No. 3
This record from Alexandria via LeMat-Bulk describes an optimized crystal structure of MgTeIr2. The functional is GGA-PBE.

As for the volume: 67.19 Å³/cell. The calculation puts the mass density at 13256 kg/m³. The total magnetization comes out at 0.00 μB/f.u. Its space group is I4/mmm (139). The polymorph energy (0 for the lowest one) is 23 meV/atom. The value obtained for the uncorrected formation energy is 0.001 eV per atom.

abc: 4.8007 4.8007 4.8007
angles: 127.73 127.72 77.08
Atoms (fractional coordinates):
Te 0.2500 0.7500 0.5000
Mg 0.7500 0.2500 0.5000
Ir 0.0002 0.0002 0.0000
Ir 0.4998 0.4998 0.0000

No. 4
This record from Alexandria via LeMat-Bulk describes an optimized crystal structure of MgTeIr. The functional is GGA-PBE.

As for the volume: 127.83 Å³/cell. The calculation puts the mass density at 8941 kg/m³. The total magnetization comes out at 0.00 μB/f.u. Its space group is Amm2 (38). The polymorph energy (0 for the lowest one) is 349 meV/atom. The value obtained for the uncorrected formation energy is 0.016 eV per atom.

abc: 4.5147 3.2058 12.4386
angles: 90.00 90.00 134.76
Atoms (fractional coordinates):
Te 0.0588 0.1177 0.8570
Te 0.0588 0.1177 0.1430
Mg 0.8256 0.6513 0.3809
Mg 0.8256 0.6513 0.6191
Ir 0.3277 0.6555 0.5000
Ir 0.5699 0.1399 0.0000

No. 5
This record from Alexandria via LeMat-Bulk describes an optimized crystal structure of MgTeIr2. The functional is GGA-PBE.

As for the volume: 70.99 Å³/cell. The calculation puts the mass density at 12545 kg/m³. The total magnetization comes out at 0.00 μB/f.u. Its space group is Imm2 (44). The polymorph energy (0 for the lowest one) is 112 meV/atom. The value obtained for the uncorrected formation energy is 0.090 eV per atom.

abc: 5.7281 5.7281 5.7281
angles: 148.56 133.15 57.51
Atoms (fractional coordinates):
Ir 0.0058 0.0058 0.0000
Ir 0.7730 0.2730 0.5000
Te 0.2212 0.7212 0.5000
Mg 0.5000 0.5000 0.0000

No. 6
This record from Alexandria via LeMat-Bulk describes an optimized crystal structure of MgTeIr2. The functional is GGA-PBE.

As for the volume: 70.18 Å³/cell. The calculation puts the mass density at 12691 kg/m³. The total magnetization comes out at 0.00 μB/f.u. Its space group is Cmmm (65). The polymorph energy (0 for the lowest one) is 361 meV/atom. The value obtained for the uncorrected formation energy is 0.339 eV per atom.

abc: 2.9454 2.9454 9.1902
angles: 90.00 90.00 118.33
Atoms (fractional coordinates):
Mg 0.5000 0.5000 0.2500
Ir 0.0000 0.0000 0.0134
Ir 0.0000 0.0000 0.4866
Te 0.5000 0.5000 0.7500

No. 7
This record from Alexandria via LeMat-Bulk describes an optimized crystal structure of MgTeIr. The functional is GGA-PBE.

As for the volume: 60.73 Å³/cell. The calculation puts the mass density at 9409 kg/m³. The total magnetization comes out at 0.00 μB/f.u. Its space group is I4mm (107). The polymorph energy (0 for the lowest one) is 316 meV/atom. The value obtained for the uncorrected formation energy is -0.017 eV per atom.

abc: 6.4899 6.4899 3.1568
angles: 75.92 75.92 28.15
Atoms (fractional coordinates):
Ir 0.9970 0.9970 0.0030
Te 0.6402 0.6402 0.3598
Mg 0.3628 0.3628 0.6372

No. 8
This record from Alexandria via LeMat-Bulk describes an optimized crystal structure of MgTeIr2. The functional is GGA-PBE.

As for the volume: 74.36 Å³/cell. The calculation puts the mass density at 11977 kg/m³. The total magnetization comes out at 0.00 μB/f.u. Its space group is P4mm (99). The polymorph energy (0 for the lowest one) is 190 meV/atom. The value obtained for the uncorrected formation energy is 0.168 eV per atom.

abc: 3.0455 3.0455 8.0171
angles: 90.00 90.00 90.02
Atoms (fractional coordinates):
Te 0.5000 0.5000 0.7919
Ir 0.5000 0.5000 0.2397
Ir 0.0000 0.0000 0.0215
Mg 0.0000 0.0000 0.4469